# 1
Below is a relaxed NdSi3Ru crystal, with properties calculated at the GGA-PBE level.

Unit cell a=5.7813 b=5.6321 c=5.9466 alpha=90.00 beta=90.00 gamma=90.00
Last column: nearest neighbours and their distance in Å.
Sites, in units of the cell vectors:
Si: 0.4374 0.2028 0.2008  1 Ru 2.30, 2 Si 2.44
Nd: 0.4384 0.3302 0.7008  12 Si 3.06-3.39, 2 Ru 3.15-3.41
Ru: 0.6477 0.5490 0.2008  5 Si 2.30-2.41
Si: 0.9273 0.5201 0.4872  2 Ru 2.35-2.41, 2 Si 2.44-2.54
Si: 0.4273 0.8327 0.9872  2 Ru 2.35-2.41, 2 Si 2.44-2.54
Ru: 0.1477 0.8038 0.7008  5 Si 2.30-2.41
Si: 0.9374 0.1500 0.7008  1 Ru 2.30, 2 Si 2.44
Si: 0.4273 0.8327 0.4143  2 Ru 2.35-2.41, 2 Si 2.44-2.54
Nd: 0.9384 0.0225 0.2008  12 Si 3.06-3.39, 2 Ru 3.15-3.41
Si: 0.9273 0.5200 0.9143  2 Ru 2.35-2.41, 2 Si 2.44-2.54

## Properties
The value obtained for the density of states at the Fermi level is 5.887 states/eV/cell. The value obtained for the uncorrected formation energy is -0.5256 eV/atom.

***

# 2
Below is a relaxed NdSi3Ru crystal, with properties calculated at the GGA-PBE level.

Unit cell a=4.2329 b=4.2329 c=5.8100 alpha=111.48 beta=111.48 gamma=89.98
Last column: nearest neighbours and their distance in Å.
Sites, in units of the cell vectors:
Si: 0.9989 0.9989 0.9974  1 Ru 2.35, 4 Si 2.63
Nd: 0.5789 0.5789 0.1575  12 Si 3.10-3.36, 5 Ru 3.37-3.41
Si: 0.3410 0.8414 0.6822  2 Ru 2.36, 2 Si 2.63
Ru: 0.2350 0.2350 0.4708  5 Si 2.35-2.36
Si: 0.8414 0.3410 0.6822  2 Ru 2.36, 2 Si 2.63

## Properties
The value obtained for the density of states at the Fermi level is 1.860 states/eV/cell. The value obtained for the uncorrected formation energy is -0.6934 eV/atom.

***

- Among the records above, which one has the highest density of states at the Fermi level?
  number 1

***

- The lowest density of states at the Fermi level belongs to which entry?
  number 2

***

Repeat the second record exactly.
Below is a relaxed NdSi3Ru crystal, with properties calculated at the GGA-PBE level.

Unit cell a=4.2329 b=4.2329 c=5.8100 alpha=111.48 beta=111.48 gamma=89.98
Last column: nearest neighbours and their distance in Å.
Sites, in units of the cell vectors:
Si: 0.9989 0.9989 0.9974  1 Ru 2.35, 4 Si 2.63
Nd: 0.5789 0.5789 0.1575  12 Si 3.10-3.36, 5 Ru 3.37-3.41
Si: 0.3410 0.8414 0.6822  2 Ru 2.36, 2 Si 2.63
Ru: 0.2350 0.2350 0.4708  5 Si 2.35-2.36
Si: 0.8414 0.3410 0.6822  2 Ru 2.36, 2 Si 2.63

## Properties
The value obtained for the density of states at the Fermi level is 1.860 states/eV/cell. The value obtained for the uncorrected formation energy is -0.6934 eV/atom.

***

- Look up the density of states at the Fermi level of the second one.
  1.860 states/eV/cell